# Rb2InAgI5, optimized geometry, DFT PBE
# - spin magnetization (μB/f.u.) = 0.00
# - calculated density (Mg/m³) = 4.2
# - formation energy without anion corrections (eV/f.u.) = -7.6
data_Rb2InAgI5
_chemical_formula_sum 'Rb8 In4 Ag4 I20'
_cell_length_a 5.345
_cell_length_b 21.359
_cell_length_c 14.234
_cell_angle_alpha 90.00
_cell_angle_beta 90.00
_cell_angle_gamma 90.00
_symmetry_space_group_name_H-M 'C m c 21'
_symmetry_Int_Tables_number 36
_symmetry_space_group_name_Hall 'C 2c -2'
loop_
_atom_site_label
_atom_site_type_symbol
_atom_site_fract_x
_atom_site_fract_y
_atom_site_fract_z
Rb1 Rb 0.000 0.111 0.000
Rb2 Rb 0.000 0.122 0.641
In1 In 0.000 0.413 0.772
Ag1 Ag 0.000 0.256 0.443
I1 I 0.000 0.053 0.343
I2 I 0.000 0.301 0.959
I3 I 0.000 0.302 0.647
I4 I 0.000 0.360 0.324
I5 I 0.000 0.498 0.600